1.
Below is a relaxed Cs2BaSn crystal, with properties calculated at the PBE level.

Geometry as CIF:
```
data_Cs2BaSn
_chemical_formula_sum 'Cs8 Ba4 Sn4'
_cell_length_a 9.2001
_cell_length_b 9.2001
_cell_length_c 9.2001
_cell_angle_alpha 90.00
_cell_angle_beta 90.00
_cell_angle_gamma 90.00
_symmetry_space_group_name_H-M 'F m -3 m'
_symmetry_Int_Tables_number 225
_symmetry_space_group_name_Hall '-F 4 2 3'
loop_
_atom_site_label
_atom_site_type_symbol
_atom_site_fract_x
_atom_site_fract_y
_atom_site_fract_z
Cs1 Cs 0.2500 0.2500 0.2500
Ba1 Ba 0.0000 0.0000 0.0000
Sn1 Sn 0.0000 0.0000 0.5000
```

Calculated values
- Fermi-level density of states (states/eV/cell) = 0.698
- VASP energy (eV per atom) = -1.824



2.
Below is a relaxed Cs2BaSn crystal, with properties calculated at the PBE level.

Geometry as CIF:
```
data_Cs2BaSn
_chemical_formula_sum 'Cs8 Ba4 Sn4'
_cell_length_a 5.3493
_cell_length_b 5.3493
_cell_length_c 28.7767
_cell_angle_alpha 90.00
_cell_angle_beta 90.00
_cell_angle_gamma 90.00
_symmetry_space_group_name_H-M 'I -4 2 d'
_symmetry_Int_Tables_number 122
_symmetry_space_group_name_Hall 'I -4 2bw'
loop_
_atom_site_label
_atom_site_type_symbol
_atom_site_fract_x
_atom_site_fract_y
_atom_site_fract_z
Cs1 Cs 0.2429 0.2500 0.1250
Ba1 Ba 0.0000 0.0000 0.5000
Sn1 Sn 0.0000 0.0000 0.0000
```

Calculated values
- Fermi-level density of states (states/eV/cell) = 4.912
- VASP energy (eV per atom) = -1.863



- Which of these has the lowest VASP energy?
  number 2



Please write out number 2 again, unchanged.
Below is a relaxed Cs2BaSn crystal, with properties calculated at the PBE level.

Geometry as CIF:
```
data_Cs2BaSn
_chemical_formula_sum 'Cs8 Ba4 Sn4'
_cell_length_a 5.3493
_cell_length_b 5.3493
_cell_length_c 28.7767
_cell_angle_alpha 90.00
_cell_angle_beta 90.00
_cell_angle_gamma 90.00
_symmetry_space_group_name_H-M 'I -4 2 d'
_symmetry_Int_Tables_number 122
_symmetry_space_group_name_Hall 'I -4 2bw'
loop_
_atom_site_label
_atom_site_type_symbol
_atom_site_fract_x
_atom_site_fract_y
_atom_site_fract_z
Cs1 Cs 0.2429 0.2500 0.1250
Ba1 Ba 0.0000 0.0000 0.5000
Sn1 Sn 0.0000 0.0000 0.0000
```

Calculated values
- Fermi-level density of states (states/eV/cell) = 4.912
- VASP energy (eV per atom) = -1.863



- The highest VASP energy belongs to which entry?
  number 1



Please write out number 1 again, unchanged.
Below is a relaxed Cs2BaSn crystal, with properties calculated at the PBE level.

Geometry as CIF:
```
data_Cs2BaSn
_chemical_formula_sum 'Cs8 Ba4 Sn4'
_cell_length_a 9.2001
_cell_length_b 9.2001
_cell_length_c 9.2001
_cell_angle_alpha 90.00
_cell_angle_beta 90.00
_cell_angle_gamma 90.00
_symmetry_space_group_name_H-M 'F m -3 m'
_symmetry_Int_Tables_number 225
_symmetry_space_group_name_Hall '-F 4 2 3'
loop_
_atom_site_label
_atom_site_type_symbol
_atom_site_fract_x
_atom_site_fract_y
_atom_site_fract_z
Cs1 Cs 0.2500 0.2500 0.2500
Ba1 Ba 0.0000 0.0000 0.0000
Sn1 Sn 0.0000 0.0000 0.5000
```

Calculated values
- Fermi-level density of states (states/eV/cell) = 0.698
- VASP energy (eV per atom) = -1.824